<P>
Material: Ta3N
Method: DFT, PBE
State: relaxed

```
Ta3N
1.0
-1.099 -1.856 1.860
3.909 2.315 2.439
-5.293 5.964 2.823
Ta N
6 2
Cartesian
-1.134 0.868 2.377
-0.268 2.623 4.639
-2.215 3.800 2.482
1.547 0.577 3.671
-4.031 5.845 3.451
-1.349 5.555 4.745
-3.018 4.165 4.553
0.535 2.258 2.569
```

Summary:
Space-group type: Cmcm
Density of states at the Fermi level (states/eV per cell): 3.63

=====

<Q>
Material: Ta3N
Method: DFT, PBE
State: relaxed

```
Ta3N
1.0
-2.839 1.025 0.257
0.792 -1.682 -2.392
-1.916 -6.250 3.760
Ta N
3 1
Cartesian
-0.958 -3.125 1.880
-0.750 -1.862 -0.858
-3.213 -5.044 2.483
0.000 0.000 0.000
```

Summary:
Space-group type: P-3m1
Density of states at the Fermi level (states/eV per cell): 2.89

=====

What should be chosen as the most stable of them? Choose <Q>.

=====

<P>
Material: Ta3N
Method: DFT, PBE
State: relaxed

```
Ta3N
1.0
2.849 0.000 0.000
0.000 2.855 0.000
0.000 0.000 7.554
Ta N
3 1
Cartesian
1.425 1.428 0.874
1.425 0.000 5.762
0.000 1.428 3.508
0.000 0.000 7.483
```

Summary:
Space-group type: Pmm2
Density of states at the Fermi level (states/eV per cell): 3.06

=====

<Q>
Material: Ta3N
Method: DFT, PBE
State: relaxed

```
Ta3N
1.0
-2.496 1.069 0.866
-2.051 -4.700 -0.109
3.396 1.234 3.573
Ta N
3 1
Cartesian
-2.033 -1.264 0.391
-0.035 -2.132 2.533
-0.597 0.928 1.825
-0.077 -0.177 -0.004
```

Summary:
Space-group type: Imm2
Density of states at the Fermi level (states/eV per cell): 2.42

=====

What should be chosen as the most stable of them? Choose <P>.

=====

<P>
Material: TaTcN2
Method: DFT, PBE
State: relaxed

```
TaTcN2
1.0
-0.507 -3.753 0.780
-2.532 -2.077 -2.055
1.263 -2.679 -2.485
Ta N Tc
1 2 1
Cartesian
-0.888 -4.254 -1.880
-0.444 -2.127 -0.940
-1.332 -6.381 -2.821
0.000 0.000 0.000
```

Summary:
Space-group type: Fm-3m
Density of states at the Fermi level (states/eV per cell): 4.32

=====

<Q>
Material: TaTcN2
Method: DFT, PBE
State: relaxed

```
TaTcN2
1.0
1.718 0.000 6.483
-0.859 1.488 6.483
-0.859 -1.488 6.483
Ta Tc N
1 1 2
Cartesian
0.000 0.000 0.000
0.000 0.000 9.725
0.000 0.000 2.020
0.000 0.000 17.430
```

Summary:
Space-group type: R-3m
Density of states at the Fermi level (states/eV per cell): 5.49

=====

<R>
Material: TaTcN2
Method: DFT, PBE
State: relaxed

```
TaTcN2
1.0
-1.382 3.625 2.239
-4.058 -0.402 -1.854
-4.197 -1.344 4.068
N Ta Tc
4 2 2
Cartesian
-3.757 -0.137 0.136
-7.911 1.812 3.386
-5.184 0.201 3.197
-2.421 1.883 2.187
0.000 0.000 0.000
-4.149 1.947 3.250
-2.720 1.612 0.193
-5.488 -0.067 1.203
```

Summary:
Space-group type: I-42d
Density of states at the Fermi level (states/eV per cell): 6.64

=====

What should be chosen as the most stable of them? Choose <R>.

=====

<P>
Material: TaTcTeN2
Method: DFT, PBE
State: relaxed

```
TaTcTeN2
1.0
3.918 0.000 0.000
0.000 3.918 0.000
0.000 0.000 5.597
N Ta Te Tc
2 1 1 1
Cartesian
1.959 0.000 0.000
0.000 1.959 0.000
1.959 1.959 2.798
0.000 0.000 2.798
0.000 0.000 0.000
```

Summary:
Space-group type: P4/mmm
Density of states at the Fermi level (states/eV per cell): 4.56

=====

<Q>
Material: TaTcTeN2
Method: DFT, PBE
State: relaxed

```
TaTcTeN2
1.0
4.019 0.000 0.000
0.000 4.019 0.000
0.000 0.000 5.858
N Tc Te Ta
2 1 1 1
Cartesian
0.000 2.010 0.000
2.010 0.000 0.000
2.010 2.010 2.929
0.000 0.000 2.929
0.000 0.000 0.000
```

Summary:
Space-group type: P4/mmm
Density of states at the Fermi level (states/eV per cell): 4.91

=====

What should be chosen as the most stable of them? Choose <Q>.

=====

<P>
Material: TaTcTe2N
Method: DFT, PBE
State: relaxed

```
TaTcTe2N
1.0
-4.069 3.455 1.493
-1.266 -3.327 4.248
2.475 1.939 2.256
N Ta Te Tc
1 1 2 1
Cartesian
1.237 0.970 1.128
0.000 0.000 0.000
-0.633 -1.664 2.124
-2.034 1.727 0.747
-1.430 1.034 3.999
```

Summary:
Space-group type: P4/mmm
Density of states at the Fermi level (states/eV per cell): 3.71

=====

<Q>
Material: TaTcTe2N
Method: DFT, PBE
State: relaxed

```
TaTcTe2N
1.0
5.373 0.000 0.000
0.000 5.373 0.000
0.000 0.000 3.676
Te Ta Tc N
2 1 1 1
Cartesian
0.000 2.686 0.000
2.686 0.000 0.000
2.686 2.686 1.838
0.000 0.000 0.000
0.000 0.000 1.838
```

Summary:
Space-group type: P4/mmm
Density of states at the Fermi level (states/eV per cell): 6.03

=====

What should be chosen as the most stable of them? Choose <P>.

=====

<P>
Material: TaTeN
Method: DFT, PBE
State: relaxed

```
TaTeN
1.0
1.834 6.961 -0.006
-1.834 6.961 -0.006
0.000 4.229 10.738
N Ta Te
4 4 4
Cartesian
0.000 3.836 1.124
0.000 10.170 9.664
0.000 14.315 9.602
0.000 7.981 1.062
0.000 8.207 9.642
0.000 12.175 9.712
0.000 5.976 1.014
0.000 9.945 1.084
0.000 7.914 6.760
0.000 12.959 3.217
0.000 5.193 7.509
0.000 10.237 3.966
```

Summary:
Space-group type: C2/m
Density of states at the Fermi level (states/eV per cell): 5.27

=====

<Q>
Material: TaTeN
Method: DFT, PBE
State: relaxed

```
TaTeN
1.0
-0.323 2.167 -2.819
-3.493 0.336 0.658
1.796 7.613 5.645
N Ta Te
2 2 2
Cartesian
-1.908 1.251 -1.081
0.000 0.000 0.000
0.041 1.942 -0.773
-0.153 6.922 5.338
1.100 6.434 2.558
-1.213 2.431 2.007
```

Summary:
Space-group type: P4/nmm
Density of states at the Fermi level (states/eV per cell): 2.63

=====

What should be chosen as the most stable of them? Choose <Q>.

=====

<P>
Material: TaTe3N
Method: DFT, PBE
State: relaxed

```
TaTe3N
1.0
5.418 0.000 0.000
0.000 5.418 0.000
0.000 0.000 5.418
N Te Ta
1 3 1
Cartesian
2.709 2.709 2.709
0.000 0.000 2.709
0.000 2.709 0.000
2.709 0.000 0.000
0.000 0.000 0.000
```

Summary:
Space-group type: Pm-3m
Density of states at the Fermi level (states/eV per cell): 2.65

=====

<Q>
Material: TaTe3N
Method: DFT, PBE
State: relaxed

```
TaTe3N
1.0
-3.147 -1.391 3.187
3.085 -3.101 1.693
1.605 3.232 2.996
Te N Ta
3 1 1
Cartesian
1.542 -1.551 0.846
0.803 1.616 1.498
-1.574 -0.695 1.594
0.000 0.000 0.000
0.771 -0.630 3.938
```

Summary:
Space-group type: Pm-3m
Density of states at the Fermi level (states/eV per cell): 3.22

=====

What should be chosen as the most stable of them? Choose <Q>.

=====

<P>
Material: Ta2TeN
Method: DFT, PBE
State: relaxed

```
Ta2TeN
1.0
-1.984 -3.956 -0.787
-0.661 -2.894 3.375
-4.160 -0.769 1.518
Te Ta N
1 2 1
Cartesian
-3.403 -3.809 2.053
-1.701 -1.905 1.027
-5.104 -5.714 3.080
0.000 0.000 0.000
```

Summary:
Space-group type: Fm-3m
Density of states at the Fermi level (states/eV per cell): 6.23

=====

<Q>
Material: Ta2TeN
Method: DFT, PBE
State: relaxed

```
Ta2TeN
1.0
5.277 0.000 0.000
0.000 5.277 0.000
2.639 2.639 5.800
Ta Te N
4 2 2
Cartesian
6.597 5.883 4.350
3.958 4.672 4.350
2.033 3.958 1.450
3.244 1.319 1.450
5.277 2.639 2.900
0.000 0.000 0.000
2.639 5.277 2.900
2.639 2.639 0.000
```

Summary:
Space-group type: I-42d
Density of states at the Fermi level (states/eV per cell): 6.60

=====

What should be chosen as the most stable of them? Choose <Q>.